NaGaBr5 | GGA-PBE | relaxed

## Properties
As for the formation energy without anion corrections: -0.69 eV per atom. Its total magnetic moment is 0.0005 μB per atom. As for the space-group type: C2/c, No. 15.

```
NaGaBr5
1.0
-1.451 -6.272 -2.482
5.841 -3.526 1.029
-2.206 -5.256 8.693
Br Ga Na
10 2 2
Cartesian
2.697 -6.657 3.976
-1.391 -7.356 -0.015
3.575 -7.698 7.254
3.654 -4.615 0.391
-0.513 -8.397 3.263
3.099 -7.864 -0.606
-1.469 -10.439 6.848
-0.037 -4.647 3.391
2.221 -10.407 3.848
-0.915 -7.190 7.845
0.000 0.000 0.000
-1.103 -2.628 4.346
1.078 -8.638 6.051
1.106 -6.416 1.187
```